The following is a DFT calculation (PBE) of crystalline PdRhOF2 at its relaxed geometry.

```
data_PdRhOF2
_chemical_formula_sum 'Pd1 Rh1 O1 F2'
_space_group_name_H-M_alt 'P 4/m m m'
_space_group_IT_number 123
_space_group_name_Hall '-P 4 2'
_cell_length_a 4.250
_cell_length_b 4.250
_cell_length_c 3.935
_cell_angle_alpha 90.00
_cell_angle_beta 90.00
_cell_angle_gamma 90.00
loop_
_atom_site_label
_atom_site_type_symbol
_atom_site_fract_x
_atom_site_fract_y
_atom_site_fract_z
Pd1 Pd 0.000 0.000 0.000
Rh1 Rh 0.500 0.500 0.500
O1 O 0.000 0.000 0.500
F1 F 0.000 0.500 0.000
```

Computed properties:
offset from the most stable computed form	363.6	meV/atom
D(E_F)	1.217	states/eV/atom



The following is a DFT calculation (PBE) of crystalline PdRhOF2 at its relaxed geometry.

```
data_PdRhOF2
_chemical_formula_sum 'Pd1 Rh1 O1 F2'
_space_group_name_H-M_alt 'P 4/m m m'
_space_group_IT_number 123
_space_group_name_Hall '-P 4 2'
_cell_length_a 4.315
_cell_length_b 4.315
_cell_length_c 3.725
_cell_angle_alpha 90.00
_cell_angle_beta 90.00
_cell_angle_gamma 90.00
loop_
_atom_site_label
_atom_site_type_symbol
_atom_site_fract_x
_atom_site_fract_y
_atom_site_fract_z
Pd1 Pd 0.000 0.000 0.000
Rh1 Rh 0.500 0.500 0.500
O1 O 0.500 0.500 0.000
F1 F 0.000 0.500 0.500
```

Computed properties:
offset from the most stable computed form	0.0	meV/atom
D(E_F)	1.579	states/eV/atom



The following is a DFT calculation (PBE) of crystalline PdRuOF2 at its relaxed geometry.

```
data_PdRuOF2
_chemical_formula_sum 'Pd1 Ru1 O1 F2'
_space_group_name_H-M_alt 'P 4/m m m'
_space_group_IT_number 123
_space_group_name_Hall '-P 4 2'
_cell_length_a 4.266
_cell_length_b 4.266
_cell_length_c 3.700
_cell_angle_alpha 90.00
_cell_angle_beta 90.00
_cell_angle_gamma 90.00
loop_
_atom_site_label
_atom_site_type_symbol
_atom_site_fract_x
_atom_site_fract_y
_atom_site_fract_z
Pd1 Pd 0.000 0.000 0.000
Ru1 Ru 0.500 0.500 0.500
O1 O 0.500 0.500 0.000
F1 F 0.000 0.500 0.500
```

Computed properties:
offset from the most stable computed form	0.0	meV/atom
D(E_F)	1.189	states/eV/atom



The following is a DFT calculation (PBE) of crystalline PdRuOF2 at its relaxed geometry.

```
data_PdRuOF2
_chemical_formula_sum 'Pd1 Ru1 O1 F2'
_space_group_name_H-M_alt 'P 4/m m m'
_space_group_IT_number 123
_space_group_name_Hall '-P 4 2'
_cell_length_a 4.225
_cell_length_b 4.225
_cell_length_c 3.994
_cell_angle_alpha 90.00
_cell_angle_beta 90.00
_cell_angle_gamma 90.00
loop_
_atom_site_label
_atom_site_type_symbol
_atom_site_fract_x
_atom_site_fract_y
_atom_site_fract_z
Pd1 Pd 0.000 0.000 0.000
Ru1 Ru 0.500 0.500 0.500
O1 O 0.000 0.000 0.500
F1 F 0.000 0.500 0.000
```

Computed properties:
offset from the most stable computed form	589.8	meV/atom
D(E_F)	0.858	states/eV/atom



The following is a DFT calculation (PBE) of crystalline Pd2SOF at its relaxed geometry.

```
data_Pd2SOF
_chemical_formula_sum 'Pd2 S1 O1 F1'
_space_group_name_H-M_alt 'P 4/m m m'
_space_group_IT_number 123
_space_group_name_Hall '-P 4 2'
_cell_length_a 4.224
_cell_length_b 4.224
_cell_length_c 3.813
_cell_angle_alpha 90.00
_cell_angle_beta 90.00
_cell_angle_gamma 90.00
loop_
_atom_site_label
_atom_site_type_symbol
_atom_site_fract_x
_atom_site_fract_y
_atom_site_fract_z
Pd1 Pd 0.000 0.500 0.000
S1 S 0.000 0.000 0.500
O1 O 0.500 0.500 0.000
F1 F 0.500 0.500 0.500
```

Computed properties:
D(E_F)	0.779	states/eV/atom



The following is a DFT calculation (PBE) of crystalline PdS2O6F2 at its relaxed geometry.

```
data_PdS2O6F2
_chemical_formula_sum 'Pd1 S2 O6 F2'
_space_group_name_H-M_alt 'P -3'
_space_group_IT_number 147
_cell_length_a 5.1528
_cell_length_b 5.1528
_cell_length_c 7.3076
_cell_angle_alpha 90.00
_cell_angle_beta 90.00
_cell_angle_gamma 120.00
loop_
_space_group_symop_operation_xyz
'x,y,z'
'-x,-y,-z'
'-y,x-y,z'
'y,-x+y,-z'
'-x+y,-x,z'
'x-y,x,-z'
loop_
_atom_site_label
_atom_site_type_symbol
_atom_site_fract_x
_atom_site_fract_y
_atom_site_fract_z
Pd1 Pd 0.0000 0.0000 0.0000
S1 S 0.3333 0.6667 0.7745
O1 O 0.0679 0.6864 0.8203
F1 F 0.3333 0.6667 0.5573
```



The following is a DFT calculation (PBE) of crystalline SbPdO2F at its relaxed geometry.

```
data_SbPdO2F
_chemical_formula_sum 'Sb1 Pd1 O2 F1'
_space_group_name_H-M_alt 'P 4/m m m'
_space_group_IT_number 123
_space_group_name_Hall '-P 4 2'
_cell_length_a 4.070
_cell_length_b 4.070
_cell_length_c 4.295
_cell_angle_alpha 90.00
_cell_angle_beta 90.00
_cell_angle_gamma 90.00
loop_
_atom_site_label
_atom_site_type_symbol
_atom_site_fract_x
_atom_site_fract_y
_atom_site_fract_z
Sb1 Sb 0.000 0.000 0.000
Pd1 Pd 0.500 0.500 0.500
O1 O 0.000 0.500 0.000
F1 F 0.000 0.000 0.500
```

Computed properties:
D(E_F)	1.084	states/eV/atom



The following is a DFT calculation (PBE) of crystalline SbPdO2F at its relaxed geometry.

```
data_SbPdO2F
_chemical_formula_sum 'Sb1 Pd1 O2 F1'
_space_group_name_H-M_alt 'P 4/m m m'
_space_group_IT_number 123
_space_group_name_Hall '-P 4 2'
_cell_length_a 4.095
_cell_length_b 4.095
_cell_length_c 4.122
_cell_angle_alpha 90.00
_cell_angle_beta 90.00
_cell_angle_gamma 90.00
loop_
_atom_site_label
_atom_site_type_symbol
_atom_site_fract_x
_atom_site_fract_y
_atom_site_fract_z
Sb1 Sb 0.000 0.000 0.000
Pd1 Pd 0.500 0.500 0.500
O1 O 0.000 0.500 0.500
F1 F 0.500 0.500 0.000
```

Computed properties:
D(E_F)	0.390	states/eV/atom



The following is a DFT calculation (PBE) of crystalline PdSeOF2 at its relaxed geometry.

```
data_PdSeOF2
_chemical_formula_sum 'Pd1 Se1 O1 F2'
_space_group_name_H-M_alt 'P 4/m m m'
_space_group_IT_number 123
_space_group_name_Hall '-P 4 2'
_cell_length_a 4.382
_cell_length_b 4.382
_cell_length_c 3.900
_cell_angle_alpha 90.00
_cell_angle_beta 90.00
_cell_angle_gamma 90.00
loop_
_atom_site_label
_atom_site_type_symbol
_atom_site_fract_x
_atom_site_fract_y
_atom_site_fract_z
Pd1 Pd 0.000 0.000 0.000
Se1 Se 0.500 0.500 0.500
O1 O 0.000 0.000 0.500
F1 F 0.000 0.500 0.000
```

Computed properties:
D(E_F)	0.541	states/eV/atom



The following is a DFT calculation (PBE) of crystalline PdSeO4F at its relaxed geometry.

```
data_PdSeO4F
_chemical_formula_sum 'Pd4 Se4 O16 F4'
_space_group_name_H-M_alt 'C 1 2/m 1'
_space_group_IT_number 12
_cell_length_a 8.691
_cell_length_b 6.537
_cell_length_c 8.426
_cell_angle_alpha 90.00
_cell_angle_beta 120.29
_cell_angle_gamma 90.00
loop_
_space_group_symop_operation_xyz
'x,y,z'
'-x,-y,-z'
'-x,y,-z'
'x,-y,z'
'x+1/2,y+1/2,z'
'-x+1/2,-y+1/2,-z'
'-x+1/2,y+1/2,-z'
'x+1/2,-y+1/2,z'
loop_
_atom_site_label
_atom_site_type_symbol
_atom_site_fract_x
_atom_site_fract_y
_atom_site_fract_z
Pd1 Pd 0.047 0.000 0.221
Se1 Se 0.170 0.500 0.320
O1 O 0.023 0.309 0.201
O2 O 0.132 0.000 0.665
O3 O 0.210 0.500 0.543
F1 F 0.160 0.000 0.040
```

Computed properties:
D(E_F)	0.386	states/eV/atom



The following is a DFT calculation (PBE) of crystalline SiPdOF2 at its relaxed geometry.

```
data_SiPdOF2
_chemical_formula_sum 'Si1 Pd1 O1 F2'
_space_group_name_H-M_alt 'P 4/m m m'
_space_group_IT_number 123
_space_group_name_Hall '-P 4 2'
_cell_length_a 4.122
_cell_length_b 4.122
_cell_length_c 3.337
_cell_angle_alpha 90.00
_cell_angle_beta 90.00
_cell_angle_gamma 90.00
loop_
_atom_site_label
_atom_site_type_symbol
_atom_site_fract_x
_atom_site_fract_y
_atom_site_fract_z
Si1 Si 0.000 0.000 0.000
Pd1 Pd 0.500 0.500 0.500
O1 O 0.000 0.000 0.500
F1 F 0.000 0.500 0.000
```

Computed properties:
offset from the most stable computed form	0.0	meV/atom
D(E_F)	1.092	states/eV/atom



The following is a DFT calculation (PBE) of crystalline SiPdOF2 at its relaxed geometry.

```
data_SiPdOF2
_chemical_formula_sum 'Si1 Pd1 O1 F2'
_space_group_name_H-M_alt 'P 4/m m m'
_space_group_IT_number 123
_space_group_name_Hall '-P 4 2'
_cell_length_a 4.167
_cell_length_b 4.167
_cell_length_c 4.100
_cell_angle_alpha 90.00
_cell_angle_beta 90.00
_cell_angle_gamma 90.00
loop_
_atom_site_label
_atom_site_type_symbol
_atom_site_fract_x
_atom_site_fract_y
_atom_site_fract_z
Si1 Si 0.000 0.000 0.000
Pd1 Pd 0.500 0.500 0.500
O1 O 0.500 0.500 0.000
F1 F 0.000 0.500 0.500
```

Computed properties:
offset from the most stable computed form	837.7	meV/atom
D(E_F)	0.358	states/eV/atom



The following is a DFT calculation (PBE) of crystalline SnPdOF2 at its relaxed geometry.

```
data_SnPdOF2
_chemical_formula_sum 'Sn1 Pd1 O1 F2'
_space_group_name_H-M_alt 'P 4/m m m'
_space_group_IT_number 123
_space_group_name_Hall '-P 4 2'
_cell_length_a 4.244
_cell_length_b 4.244
_cell_length_c 4.174
_cell_angle_alpha 90.00
_cell_angle_beta 90.00
_cell_angle_gamma 90.00
loop_
_atom_site_label
_atom_site_type_symbol
_atom_site_fract_x
_atom_site_fract_y
_atom_site_fract_z
Sn1 Sn 0.000 0.000 0.000
Pd1 Pd 0.500 0.500 0.500
O1 O 0.500 0.500 0.000
F1 F 0.000 0.500 0.500
```

Computed properties:
offset from the most stable computed form	142.7	meV/atom
D(E_F)	0.309	states/eV/atom



The following is a DFT calculation (PBE) of crystalline SnPdO2F at its relaxed geometry.

```
data_SnPdO2F
_chemical_formula_sum 'Sn1 Pd1 O2 F1'
_space_group_name_H-M_alt 'P 4/m m m'
_space_group_IT_number 123
_space_group_name_Hall '-P 4 2'
_cell_length_a 4.048
_cell_length_b 4.048
_cell_length_c 4.172
_cell_angle_alpha 90.00
_cell_angle_beta 90.00
_cell_angle_gamma 90.00
loop_
_atom_site_label
_atom_site_type_symbol
_atom_site_fract_x
_atom_site_fract_y
_atom_site_fract_z
Sn1 Sn 0.000 0.000 0.000
Pd1 Pd 0.500 0.500 0.500
O1 O 0.000 0.500 0.000
F1 F 0.000 0.000 0.500
```

Computed properties:
D(E_F)	0.589	states/eV/atom



The following is a DFT calculation (PBE) of crystalline SnPdO2F at its relaxed geometry.

```
data_SnPdO2F
_chemical_formula_sum 'Sn1 Pd1 O2 F1'
_space_group_name_H-M_alt 'P 4/m m m'
_space_group_IT_number 123
_space_group_name_Hall '-P 4 2'
_cell_length_a 4.094
_cell_length_b 4.094
_cell_length_c 4.140
_cell_angle_alpha 90.00
_cell_angle_beta 90.00
_cell_angle_gamma 90.00
loop_
_atom_site_label
_atom_site_type_symbol
_atom_site_fract_x
_atom_site_fract_y
_atom_site_fract_z
Sn1 Sn 0.000 0.000 0.000
Pd1 Pd 0.500 0.500 0.500
O1 O 0.000 0.500 0.500
F1 F 0.500 0.500 0.000
```

Computed properties:
D(E_F)	0.388	states/eV/atom



The following is a DFT calculation (PBE) of crystalline SnPdOF2 at its relaxed geometry.

```
data_SnPdOF2
_chemical_formula_sum 'Sn1 Pd1 O1 F2'
_space_group_name_H-M_alt 'P 4/m m m'
_space_group_IT_number 123
_space_group_name_Hall '-P 4 2'
_cell_length_a 4.330
_cell_length_b 4.330
_cell_length_c 4.025
_cell_angle_alpha 90.00
_cell_angle_beta 90.00
_cell_angle_gamma 90.00
loop_
_atom_site_label
_atom_site_type_symbol
_atom_site_fract_x
_atom_site_fract_y
_atom_site_fract_z
Sn1 Sn 0.000 0.000 0.000
Pd1 Pd 0.500 0.500 0.500
O1 O 0.000 0.000 0.500
F1 F 0.000 0.500 0.000
```

Computed properties:
offset from the most stable computed form	0.0	meV/atom
D(E_F)	0.778	states/eV/atom



The following is a DFT calculation (PBE) of crystalline SrPdO2F at its relaxed geometry.

```
data_SrPdO2F
_chemical_formula_sum 'Sr1 Pd1 O2 F1'
_space_group_name_H-M_alt 'P 4/m m m'
_space_group_IT_number 123
_space_group_name_Hall '-P 4 2'
_cell_length_a 4.068
_cell_length_b 4.068
_cell_length_c 4.248
_cell_angle_alpha 90.00
_cell_angle_beta 90.00
_cell_angle_gamma 90.00
loop_
_atom_site_label
_atom_site_type_symbol
_atom_site_fract_x
_atom_site_fract_y
_atom_site_fract_z
Sr1 Sr 0.000 0.000 0.000
Pd1 Pd 0.500 0.500 0.500
O1 O 0.000 0.500 0.500
F1 F 0.500 0.500 0.000
```

Computed properties:
D(E_F)	0.979	states/eV/atom



The following is a DFT calculation (PBE) of crystalline SrPdO2F at its relaxed geometry.

```
data_SrPdO2F
_chemical_formula_sum 'Sr1 Pd1 O2 F1'
_space_group_name_H-M_alt 'P 4/m m m'
_space_group_IT_number 123
_space_group_name_Hall '-P 4 2'
_cell_length_a 4.728
_cell_length_b 4.728
_cell_length_c 4.536
_cell_angle_alpha 90.00
_cell_angle_beta 90.00
_cell_angle_gamma 90.00
loop_
_atom_site_label
_atom_site_type_symbol
_atom_site_fract_x
_atom_site_fract_y
_atom_site_fract_z
Sr1 Sr 0.000 0.000 0.000
Pd1 Pd 0.500 0.500 0.500
O1 O 0.000 0.500 0.000
F1 F 0.000 0.000 0.500
```

Computed properties:
D(E_F)	1.159	states/eV/atom



The following is a DFT calculation (PBE) of crystalline TaPdO2F at its relaxed geometry.

```
data_TaPdO2F
_chemical_formula_sum 'Ta1 Pd1 O2 F1'
_space_group_name_H-M_alt 'P 4/m m m'
_space_group_IT_number 123
_space_group_name_Hall '-P 4 2'
_cell_length_a 4.082
_cell_length_b 4.082
_cell_length_c 3.988
_cell_angle_alpha 90.00
_cell_angle_beta 90.00
_cell_angle_gamma 90.00
loop_
_atom_site_label
_atom_site_type_symbol
_atom_site_fract_x
_atom_site_fract_y
_atom_site_fract_z
Ta1 Ta 0.000 0.000 0.000
Pd1 Pd 0.500 0.500 0.500
O1 O 0.000 0.500 0.500
F1 F 0.500 0.500 0.000
```

Computed properties:
D(E_F)	1.237	states/eV/atom



The following is a DFT calculation (PBE) of crystalline TaPdO2F at its relaxed geometry.

```
data_TaPdO2F
_chemical_formula_sum 'Ta1 Pd1 O2 F1'
_space_group_name_H-M_alt 'P 4/m m m'
_space_group_IT_number 123
_space_group_name_Hall '-P 4 2'
_cell_length_a 3.958
_cell_length_b 3.958
_cell_length_c 4.155
_cell_angle_alpha 90.00
_cell_angle_beta 90.00
_cell_angle_gamma 90.00
loop_
_atom_site_label
_atom_site_type_symbol
_atom_site_fract_x
_atom_site_fract_y
_atom_site_fract_z
Ta1 Ta 0.000 0.000 0.000
Pd1 Pd 0.500 0.500 0.500
O1 O 0.000 0.500 0.000
F1 F 0.000 0.000 0.500
```

Computed properties:
D(E_F)	0.862	states/eV/atom



Here are the calculated formation energy without anion corrections numbers, same order: -0.088; -0.451; -0.572; 0.017; 0.152; -1.195; -0.686; -0.403; -0.214; -0.528; -1.235; -0.397; -0.937; -0.842; -0.677; -1.079; -1.613; -0.570; 0.114; -1.712 (eV per atom).